Entry 1:
Computed, not measured: an optimized crystal structure of SrAcGa2Pt2 at the PBE level of DFT.

E (eV per atom): -4.90
E_form (meV per atom): -912
Total magnetization (μB per cell): 0.000

Lattice parameters (Å, degrees): 4.4474 4.4474 8.6674 90.00 90.00 120.00
Sites, in units of the cell vectors:
Sr 0.0000 0.0000 0.0000
Ac 0.0000 0.0000 0.5000
Ga 0.3333 0.6667 0.7552
Ga 0.6667 0.3333 0.2448
Pt 0.3333 0.6667 0.2638
Pt 0.6667 0.3333 0.7362



Entry 2:
Computed, not measured: an optimized crystal structure of SrAc2Ga4Pt3 at the PBE level of DFT.

E (eV per atom): -4.77
E_form (meV per atom): -757
Total magnetization (μB per cell): 0.000

Lattice parameters (Å, degrees): 4.4684 4.4684 11.7476 90.00 90.00 90.00
Sites, in units of the cell vectors:
Sr 0.0000 0.0000 0.0000
Ac 0.0000 0.5000 0.7188
Ac 0.5000 0.0000 0.2812
Ga 0.0000 0.0000 0.5000
Ga 0.0000 0.5000 0.1735
Ga 0.5000 0.0000 0.8265
Ga 0.5000 0.5000 0.5000
Pt 0.0000 0.5000 0.3861
Pt 0.5000 0.0000 0.6139
Pt 0.5000 0.5000 0.0000



Entry 3:
Computed, not measured: an optimized crystal structure of AcTb2Ga2Pt7 at the PBE level of DFT.

E (eV per atom): -6.02
E_form (meV per atom): -873
Total magnetization (μB per cell): 0.000

Lattice parameters (Å, degrees): 4.1418 4.1418 14.3474 97.11 97.11 89.08
Sites, in units of the cell vectors:
Ac 0.0000 0.0000 0.0000
Tb 0.1321 0.1321 0.3616
Tb 0.8679 0.8679 0.6384
Ga 0.3871 0.3871 0.7348
Ga 0.6129 0.6129 0.2652
Pt 0.0715 0.5706 0.1670
Pt 0.3590 0.3590 0.5642
Pt 0.4294 0.9285 0.8330
Pt 0.5000 0.5000 0.0000
Pt 0.5706 0.0715 0.1670
Pt 0.6410 0.6410 0.4358
Pt 0.9285 0.4294 0.8330



Entry 4:
Computed, not measured: an optimized crystal structure of AcTbGa2Pt2 at the PBE level of DFT.

E (eV per atom): -5.51
E_form (meV per atom): -1035
Total magnetization (μB per cell): 0.000

Lattice parameters (Å, degrees): 4.5356 4.5356 7.5183 90.00 90.00 120.00
Sites, in units of the cell vectors:
Ac 0.0000 0.0000 0.0000
Tb 0.0000 0.0000 0.5000
Ga 0.3333 0.6667 0.2912
Ga 0.6667 0.3333 0.7088
Pt 0.3333 0.6667 0.7134
Pt 0.6667 0.3333 0.2866